A plane-wave DFT calculation with PBE-GGA was carried out for a relaxed Tl6Te3S crystal.

Cell: 14.918 7.090 6.708 Å, 90.00 105.75 90.00°
Space group C2/m (No. 12)
Inequivalent atoms, fractional coordinates:
Tl 0.123 0.000 0.238 x4
Tl 0.143 0.250 0.767 x8
Te 0.000 0.500 0.000 x2
Te 0.169 0.500 0.374 x4
S 0.000 0.000 0.500 x2

Summary:
ΔE to the lowest computed polymorph	0	meV per atom

A plane-wave DFT calculation with PBE-GGA was carried out for a relaxed Tl2TeS2 crystal.

Cell: 13.387 6.339 7.781 Å, 90.00 109.77 90.00°
Space group C2/m (No. 12)
Inequivalent atoms, fractional coordinates:
Tl 0.002 0.000 0.272 x4
Tl 0.193 0.500 0.147 x4
Te 0.160 0.500 0.605 x4
S 0.027 0.500 0.753 x4
S 0.178 0.000 0.113 x4

A plane-wave DFT calculation with PBE-GGA was carried out for a relaxed TmTl2TeS4 crystal.

Cell: 7.363 3.948 7.769 Å, 90.00 109.41 90.00°
Space group P2/m (No. 10)
Inequivalent atoms, fractional coordinates:
Tm 0.000 0.000 0.000 x1
Tl 0.000 0.500 0.500 x1
Tl 0.500 0.000 0.500 x1
Te 0.500 0.500 0.000 x1
S 0.202 0.500 0.220 x2
S 0.266 0.000 0.812 x2

A plane-wave DFT calculation with PBE-GGA was carried out for a relaxed UTlTeS crystal.

Cell: 4.1641 4.1641 24.5275 Å, 90.00 90.00 120.00°
Space group R3m (No. 160, hexagonal axes)
Inequivalent atoms, fractional coordinates:
U 0.0000 0.0000 0.0000 x3
Tl 0.0000 0.0000 0.8425 x3
Te 0.0000 0.0000 0.4144 x3
S 0.0000 0.0000 0.6123 x3

A plane-wave DFT calculation with PBE-GGA was carried out for a relaxed UTlTeS6 crystal.

Cell: 9.228 9.705 13.270 Å, 90.00 90.00 90.00°
Space group Imma (No. 74)
Inequivalent atoms, fractional coordinates:
U 0.000 0.000 0.000 x4
Tl 0.000 0.250 0.444 x4
Te 0.250 0.250 0.750 x4
S 0.000 0.250 0.061 x4
S 0.000 0.250 0.667 x4
S 0.204 0.051 0.878 x16

A plane-wave DFT calculation with PBE-GGA was carried out for a relaxed Y4TlTe2S crystal.

Cell: 7.419 4.192 7.532 Å, 90.00 108.61 90.00°
Space group P2/m (No. 10)
Inequivalent atoms, fractional coordinates:
Y 0.229 0.000 0.219 x2
Y 0.246 0.500 0.765 x2
Tl 0.500 0.000 0.000 x1
Te 0.000 0.000 0.500 x1
Te 0.500 0.500 0.500 x1
S 0.000 0.500 0.000 x1

A plane-wave DFT calculation with PBE-GGA was carried out for a relaxed YTlTeS crystal.

Cell: 4.2348 4.2348 24.1251 Å, 90.00 90.00 120.00°
Space group R3m (No. 160, hexagonal axes)
Inequivalent atoms, fractional coordinates:
Y 0.0000 0.0000 0.0000 x3
Tl 0.0000 0.0000 0.8395 x3
Te 0.0000 0.0000 0.4146 x3
S 0.0000 0.0000 0.6151 x3

A plane-wave DFT calculation with PBE-GGA was carried out for a relaxed Tl2ZnTeS4 crystal.

Cell: 6.255 6.256 6.899 Å, 116.61 108.24 99.24°
Space group P1 (No. 1)
Inequivalent atoms, fractional coordinates:
Tl 0.000 0.000 0.000 x1
Tl 0.273 0.773 0.501 x1
Zn 0.472 0.472 0.003 x1
Te 0.780 0.280 0.502 x1
S 0.087 0.476 0.955 x1
S 0.451 0.356 0.610 x1
S 0.526 0.135 0.051 x1
S 0.750 0.844 0.394 x1

A plane-wave DFT calculation with PBE-GGA was carried out for a relaxed ZrTl2Te2S6 crystal.

Cell: 14.466 7.015 7.544 Å, 90.00 119.98 90.00°
Space group C2/m (No. 12)
Inequivalent atoms, fractional coordinates:
Zr 0.000 0.000 0.000 x2
Tl 0.230 0.000 0.722 x4
Te 0.028 0.500 0.332 x4
S 0.090 0.253 0.876 x8
S 0.186 0.000 0.283 x4

A plane-wave DFT calculation with PBE-GGA was carried out for a relaxed TmTeS3 crystal.

Cell: 16.304 3.915 7.400 Å, 90.00 92.45 90.00°
Space group C2/m (No. 12)
Inequivalent atoms, fractional coordinates:
Tm 0.220 0.000 0.232 x4
Te 0.048 0.500 0.680 x4
S 0.039 0.000 0.213 x4
S 0.162 0.500 0.024 x4
S 0.176 0.000 0.595 x4

A plane-wave DFT calculation with PBE-GGA was carried out for a relaxed TmTeS crystal.

Cell: 3.8546 3.8546 7.6343 Å, 90.00 90.00 120.00°
Space group P3m1 (No. 156)
Inequivalent atoms, fractional coordinates:
Tm 0.0000 0.0000 0.0000 x1
Te 0.3333 0.6667 0.6962 x1
S 0.6667 0.3333 0.1694 x1

Summary:
ΔE to the lowest computed polymorph	151	meV per atom

A plane-wave DFT calculation with PBE-GGA was carried out for a relaxed Tm2Te2S crystal.

Cell: 8.348 6.148 12.034 Å, 90.00 90.00 90.00°
Space group Pnma (No. 62)
Inequivalent atoms, fractional coordinates:
Tm 0.062 0.250 0.234 x4
Tm 0.160 0.250 0.573 x4
Te 0.045 0.750 0.211 x4
Te 0.162 0.750 0.561 x4
S 0.208 0.750 0.882 x4

Summary:
ΔE to the lowest computed polymorph	47	meV per atom

Values for formation energy (no corrections), eV per atom, ordered as above
-0.258; -0.200; -0.715; -0.747; -0.321; -1.228; -1.247; -0.265; -0.376; -0.883; -1.299; -1.489
Values for raw total energy, eV/f.u., ordered as above
-30.33; -17.13; -34.58; -23.91; -44.45; -48.45; -21.09; -27.78; -48.46; -24.41; -15.64; -26.80